No. 1
VASP calculation (GGA-PBE) on a geometry-optimized K4Be3O5 structure.

Computed properties:
space group: No. 15
energy relative to the elements, uncorrected: -2.025 eV/atom

Geometry as extended XYZ:
```
24
Lattice="-2.867 -5.404 -1.808 0.818 -0.986 -6.249 7.062 -8.048 -2.147" Properties=species:S:1:pos:R:3 pbc="T T T"
Be 6.045 -7.105 -7.776
Be 1.588 -4.191 -5.586
K 3.114 -7.393 -3.469
K 4.623 -12.036 -6.837
K 2.064 -10.301 -7.554
O 4.462 -7.099 -7.220
K 5.871 -8.891 -2.991
O 4.198 -9.319 -5.550
Be 4.975 -8.388 -6.487
K 0.390 -2.402 -3.368
O 3.330 -10.157 -3.061
O 1.683 -4.281 -7.144
K -0.859 -5.547 -7.213
O 0.551 -7.339 -2.984
Be -1.032 -7.333 -2.429
O 2.452 -2.952 -5.184
K 1.899 -7.045 -6.735
O -1.461 -5.942 -3.265
Be 3.425 -10.246 -4.618
Be 0.038 -6.050 -3.718
O 2.561 -11.485 -5.021
O 0.814 -5.119 -4.654
O 6.474 -8.495 -6.940
K 2.949 -4.137 -2.651
```

No. 2
VASP calculation (GGA-PBE) on a geometry-optimized RbGe2Rh structure.

Computed properties:
polymorph energy (0 for the lowest one): 0.695 eV per atom
space group: No. 225

Geometry as extended XYZ:
```
4
Lattice="0.000 3.427 3.427 3.427 0.000 3.427 3.427 3.427 0.000" Properties=species:S:1:pos:R:3 pbc="T T T"
Ge 1.714 1.714 1.714
Rh 3.427 3.427 3.427
Ge 5.141 5.141 5.141
Rb 0.000 0.000 0.000
```

No. 3
VASP calculation (GGA-PBE) on a geometry-optimized Pa2PdSeS4 structure.

Computed properties:
space group: No. 12
energy relative to the elements, uncorrected: -1.266 eV/atom

Geometry as extended XYZ:
```
8
Lattice="3.892 0.000 0.000 1.946 5.896 1.004 1.946 2.424 7.588" Properties=species:S:1:pos:R:3 pbc="T T T"
S 3.892 0.948 2.476
S 3.892 7.372 6.117
S 3.892 4.187 7.505
Se 3.892 4.160 4.296
Pa 5.838 5.505 6.022
S 3.892 4.134 1.087
Pa 1.946 2.816 2.571
Pd 0.000 0.000 0.000
```

No. 4
VASP calculation (GGA-PBE) on a geometry-optimized GeSb2Os structure.

Computed properties:
space group: No. 122
energy relative to the elements, uncorrected: 0.506 eV/atom

Geometry as extended XYZ:
```
8
Lattice="6.193 0.000 0.000 0.000 6.193 0.000 3.097 3.097 5.964" Properties=species:S:1:pos:R:3 pbc="T T T"
Sb 4.809 1.548 1.491
Sb 4.645 4.481 4.473
Sb 1.384 4.645 1.491
Os 0.000 0.000 0.000
Ge 3.097 6.193 2.982
Ge 3.097 3.097 0.000
Os 6.193 3.097 2.982
Sb 7.742 7.906 4.473
```

No. 5
VASP calculation (GGA-PBE) on a geometry-optimized Mg2FeH2 structure.

Computed properties:
polymorph energy (0 for the lowest one): 0.000 eV per atom
space group: No. 139

Geometry as extended XYZ:
```
5
Lattice="2.954 0.000 0.000 0.000 2.954 0.000 1.477 1.477 6.541" Properties=species:S:1:pos:R:3 pbc="T T T"
Mg 2.954 2.954 4.573
Mg 1.477 1.477 1.968
H 1.477 2.954 3.270
H 2.954 1.477 3.270
Fe 0.000 0.000 0.000
```

No. 6
VASP calculation (GGA-PBE) on a geometry-optimized NbNiSn structure.

Computed properties:
space group: No. 11

Geometry as extended XYZ:
```
6
Lattice="-0.989 2.351 1.663 -3.589 0.433 -2.745 -3.581 -5.190 3.863" Properties=species:S:1:pos:R:3 pbc="T T T"
Nb -3.140 0.051 2.237
Sn -4.325 -2.282 3.417
Ni -6.768 -2.787 2.779
Ni -1.391 0.380 0.002
Sn -3.834 -0.125 -0.636
Nb -5.019 -2.457 0.544
```

No. 7
VASP calculation (GGA-PBE) on a geometry-optimized CuOsRu2 structure.

Computed properties:
space group: No. 122

Geometry as extended XYZ:
```
8
Lattice="-2.062 5.646 -3.628 -6.650 -1.208 1.901 -4.023 3.690 1.236" Properties=species:S:1:pos:R:3 pbc="T T T"
Os 0.000 0.000 0.000
Ru -3.205 4.518 -1.861
Cu -4.356 2.219 -0.864
Os -5.221 5.778 -1.628
Ru -10.897 6.605 -0.511
Cu -7.515 2.351 1.137
Ru -6.028 4.479 0.206
Ru -5.340 0.656 1.183
```

No. 8
VASP calculation (GGA-PBE) on a geometry-optimized Zr2ScTa structure.

Computed properties:
space group: No. 216

Geometry as extended XYZ:
```
4
Lattice="-2.773 4.034 0.777 -3.864 0.957 -2.953 -4.620 -0.465 1.735" Properties=species:S:1:pos:R:3 pbc="T T T"
Sc -5.629 2.263 -0.220
Ta -2.814 1.132 -0.110
Zr -8.443 3.395 -0.330
Zr 0.000 0.000 0.000
```

No. 9
VASP calculation (GGA-PBE) on a geometry-optimized CdAg2P2 structure.

Computed properties:
polymorph energy (0 for the lowest one): 0.092 eV per atom
space group: No. 139

Geometry as extended XYZ:
```
5
Lattice="-0.282 2.842 -1.648 -0.626 -1.670 -2.773 -8.835 0.783 -0.437" Properties=species:S:1:pos:R:3 pbc="T T T"
P -4.786 2.106 -2.148
Ag -2.235 0.628 -1.834
Cd 0.000 0.000 0.000
P -4.958 -0.150 -2.711
Ag -7.508 1.327 -3.025
```

No. 10
VASP calculation (GGA-PBE) on a geometry-optimized Si2HgAu structure.

Computed properties:
space group: No. 44
energy relative to the elements, uncorrected: 0.416 eV/atom

Geometry as extended XYZ:
```
4
Lattice="6.160 0.130 -0.093 3.491 5.077 0.093 -4.137 -3.879 2.409" Properties=species:S:1:pos:R:3 pbc="T T T"
Au 5.137 2.771 0.000
Si 3.528 -0.517 1.158
Si 9.269 5.001 0.000
Hg 2.057 1.883 1.251
```

No. 11
VASP calculation (GGA-PBE) on a geometry-optimized SiMoSN2 structure.

Computed properties:
polymorph energy (0 for the lowest one): 0.109 eV per atom
space group: No. 123
energy relative to the elements, uncorrected: 0.667 eV/atom

Geometry as extended XYZ:
```
5
Lattice="-1.875 0.349 3.038 -1.191 -3.365 -0.349 3.639 -1.540 2.423" Properties=species:S:1:pos:R:3 pbc="T T T"
N -0.938 0.174 1.519
N -0.596 -1.683 -0.174
S 1.820 -0.770 1.212
Si 0.000 0.000 0.000
Mo 0.286 -2.278 2.556
```

No. 12
VASP calculation (GGA-PBE) on a geometry-optimized PmPuPb structure.

Computed properties:
polymorph energy (0 for the lowest one): 0.004 eV per atom
space group: No. 129

Geometry as extended XYZ:
```
6
Lattice="-0.120 -2.180 -3.965 -2.930 -2.984 1.730 -6.761 5.124 -2.612" Properties=species:S:1:pos:R:3 pbc="T T T"
Pm -7.229 2.876 -1.362
Pm -1.057 -0.334 -2.367
Pb -2.959 -0.360 0.288
Pu -3.380 2.562 -1.306
Pb -5.327 2.902 -4.017
Pu -4.906 -0.020 -2.423
```

| no. | total magnetization (μB per atom) | E_tot (eV/cell) |
| --- | --- | --- |
| 1 | 0.00 | -129.3 |
| 2 | 0.00 | -15.7 |
| 3 | 0.00 | -54.3 |
| 4 | 0.00 | -44.1 |
| 5 | 0.45 | -17.4 |
| 6 | 0.00 | -40.4 |
| 7 | 0.00 | -61.0 |
| 8 | 0.00 | -34.4 |
| 9 | 0.00 | -16.3 |
| 10 | 0.00 | -12.8 |
| 11 | 0.43 | -33.7 |
| 12 | 2.27 | -47.4 |